A plane-wave DFT calculation with PBE was carried out for an optimized crystal structure of SmTm6Pd2.

Values from the calculation:
* energy relative to the elements: -3.2 eV/f.u.

Cell lengths 11.1976, 5.2930, 9.7319 Å; angles 90.00, 124.72, 90.00 degrees
Space group C2/m (No. 12)
Symmetry-distinct sites (fractional):
Sm 0.0000 0.0000 0.0000 (multiplicity 2)
Tm 0.1184 0.0000 0.4354 (multiplicity 4)
Tm 0.1356 0.5000 0.6834 (multiplicity 4)
Tm 0.2126 0.5000 0.0755 (multiplicity 4)
Pd 0.0852 0.5000 0.2609 (multiplicity 4)

A plane-wave DFT calculation with PBE was carried out for an optimized crystal structure of Sb4Pb.

Values from the calculation:
* uncorrected formation energy: 189 meV/atom

Cell lengths 5.8457, 5.8457, 9.5543 Å; angles 90.00, 90.00, 90.00 degrees
Space group I4/mmm (No. 139)
Symmetry-distinct sites (fractional):
Sb 0.0000 0.0000 0.1554 (multiplicity 4)
Sb 0.0000 0.5000 0.2500 (multiplicity 4)
Pb 0.0000 0.0000 0.5000 (multiplicity 2)

A plane-wave DFT calculation with PBE was carried out for an optimized crystal structure of Th2ZnSn2.

Values from the calculation:
* energy relative to the elements: -2.4 eV/f.u.

Cell lengths 11.7119, 4.4505, 11.3969 Å; angles 90.00, 115.85, 90.00 degrees
Space group C2/m (No. 12)
Symmetry-distinct sites (fractional):
Th 0.0056 0.0000 0.1702 (multiplicity 4)
Th 0.1880 0.0000 0.6120 (multiplicity 4)
Zn 0.2074 0.5000 0.8210 (multiplicity 4)
Sn 0.0370 0.5000 0.3871 (multiplicity 4)
Sn 0.1564 0.5000 0.0631 (multiplicity 4)

A plane-wave DFT calculation with PBE was carried out for an optimized crystal structure of BaCaSb2Te.

Values from the calculation:
* uncorrected formation energy: 223 meV/atom

Cell lengths 6.1200, 6.1200, 6.3070 Å; angles 90.00, 90.00, 90.00 degrees
Space group P4/mmm (No. 123)
Symmetry-distinct sites (fractional):
Ba 0.0000 0.0000 0.0000 (multiplicity 1)
Ca 0.5000 0.5000 0.5000 (multiplicity 1)
Sb 0.0000 0.5000 0.0000 (multiplicity 2)
Te 0.0000 0.0000 0.5000 (multiplicity 1)

A plane-wave DFT calculation with PBE was carried out for an optimized crystal structure of Dy3TlHg4.

Values from the calculation:
* energy relative to the elements: -3.1 eV/f.u.

Cell lengths 5.1823, 5.1823, 26.3318 Å; angles 90.00, 90.00, 120.00 degrees
Space group R-3m (No. 166, hexagonal axes)
Symmetry-distinct sites (fractional):
Dy 0.0000 0.0000 0.0000 (multiplicity 3)
Dy 0.0000 0.0000 0.2429 (multiplicity 6)
Tl 0.0000 0.0000 0.5000 (multiplicity 3)
Hg 0.0000 0.0000 0.1193 (multiplicity 6)
Hg 0.0000 0.0000 0.3672 (multiplicity 6)

A plane-wave DFT calculation with PBE was carried out for an optimized crystal structure of NaFe2MoRu.

Values from the calculation:
* energy relative to the elements: 6.4 eV/f.u.

Cell lengths 4.6042, 4.6042, 4.6838 Å; angles 90.00, 90.00, 90.00 degrees
Space group P4/mmm (No. 123)
Symmetry-distinct sites (fractional):
Na 0.0000 0.0000 0.0000 (multiplicity 1)
Fe 0.0000 0.5000 0.5000 (multiplicity 2)
Mo 0.5000 0.5000 0.5000 (multiplicity 1)
Ru 0.5000 0.5000 0.0000 (multiplicity 1)

A plane-wave DFT calculation with PBE was carried out for an optimized crystal structure of Sr2Tl2S.

Values from the calculation:
* uncorrected formation energy: -674 meV/atom

Cell lengths 7.9190, 7.9190, 5.7369 Å; angles 90.00, 90.00, 90.00 degrees
Space group P4/mbm (No. 127)
Symmetry-distinct sites (fractional):
Sr 0.1862 0.3138 0.0000 (multiplicity 4)
Tl 0.1334 0.6334 0.5000 (multiplicity 4)
S 0.0000 0.0000 0.0000 (multiplicity 2)

no.,magnetic moment (μB per atom)
1,0.000
2,0.000
3,0.000
4,0.000
5,0.000
6,0.747
7,0.000